InCuOsSeS2 after structural relaxation. Source: the Open Quantum Materials Database, functional PBE-GGA.

Calculated values
- crystal system = orthorhombic
- DFT total energy (eV per atom) = -5.037
- magnetic moment (μB/atom) = 0.000

CIF file:
```
data_InCuOsSeS2
_symmetry_space_group_name_H-M 'C m c m'
_symmetry_Int_Tables_number 63
_symmetry_space_group_name_Hall '-C 2c 2'
_cell_length_a 3.675
_cell_length_b 13.764
_cell_length_c 9.437
_cell_angle_alpha 90.00
_cell_angle_beta 90.00
_cell_angle_gamma 90.00
loop_
_atom_site_label
_atom_site_fract_x
_atom_site_fract_y
_atom_site_fract_z
In1 0.000 0.205 0.250
Cu1 0.000 0.149 0.750
Os1 0.000 0.500 0.000
Se1 0.000 0.446 0.750
S1 0.000 0.112 0.526
```

=====

LuNbPd after structural relaxation. Source: the Open Quantum Materials Database, functional PBE-GGA.

Calculated values
- crystal system = cubic
- magnetic moment (μB/atom) = 0.006
- polymorph energy (0 for the lowest one) (meV/atom) = 0

CIF file:
```
data_LuNbPd
_symmetry_space_group_name_H-M 'F -4 3 m'
_symmetry_Int_Tables_number 216
_symmetry_space_group_name_Hall 'F -4 2 3'
_cell_length_a 6.456
_cell_length_b 6.456
_cell_length_c 6.456
_cell_angle_alpha 90.00
_cell_angle_beta 90.00
_cell_angle_gamma 90.00
loop_
_atom_site_label
_atom_site_fract_x
_atom_site_fract_y
_atom_site_fract_z
Lu1 0.000 0.000 0.000
Nb1 0.000 0.000 0.500
Pd1 0.250 0.250 0.250
```

=====

Ba2CdOsN6 after structural relaxation. Source: the Open Quantum Materials Database, functional PBE-GGA.

Calculated values
- crystal system = tetragonal
- DFT total energy (eV per atom) = -6.002
- magnetic moment (μB/atom) = 0.017

CIF file:
```
data_Ba2CdOsN6
_symmetry_space_group_name_H-M 'I 4/m m m'
_symmetry_Int_Tables_number 139
_symmetry_space_group_name_Hall '-I 4 2'
_cell_length_a 5.946
_cell_length_b 5.946
_cell_length_c 8.469
_cell_angle_alpha 90.00
_cell_angle_beta 90.00
_cell_angle_gamma 90.00
loop_
_atom_site_label
_atom_site_fract_x
_atom_site_fract_y
_atom_site_fract_z
Ba1 0.000 0.500 0.250
Cd1 0.000 0.000 0.000
Os1 0.000 0.000 0.500
N1 0.000 0.000 0.271
N2 0.230 0.230 0.500
```

=====

K5Gd3Pb2 after structural relaxation. Source: the Open Quantum Materials Database, functional PBE-GGA.

Calculated values
- crystal system = orthorhombic
- DFT total energy (eV per atom) = -2.478
- magnetic moment (μB/atom) = 0.057

CIF file:
```
data_K5Gd3Pb2
_symmetry_space_group_name_H-M 'C m m m'
_symmetry_Int_Tables_number 65
_symmetry_space_group_name_Hall '-C 2 2'
_cell_length_a 6.203
_cell_length_b 34.036
_cell_length_c 3.788
_cell_angle_alpha 90.00
_cell_angle_beta 90.00
_cell_angle_gamma 90.00
loop_
_atom_site_label
_atom_site_fract_x
_atom_site_fract_y
_atom_site_fract_z
K1 0.000 0.000 0.000
K2 0.000 0.115 0.500
K3 0.000 0.394 0.000
Gd1 0.000 0.284 0.500
Gd2 0.000 0.500 0.500
Pb1 0.000 0.204 0.000
```

=====

Cu2BiIr after structural relaxation. Source: the Open Quantum Materials Database, functional PBE-GGA.

Calculated values
- crystal system = cubic
- DFT total energy (eV per atom) = -4.743
- magnetic moment (μB/atom) = 0.001

CIF file:
```
data_Cu2BiIr
_symmetry_space_group_name_H-M 'F -4 3 m'
_symmetry_Int_Tables_number 216
_symmetry_space_group_name_Hall 'F -4 2 3'
_cell_length_a 6.402
_cell_length_b 6.402
_cell_length_c 6.402
_cell_angle_alpha 90.00
_cell_angle_beta 90.00
_cell_angle_gamma 90.00
loop_
_atom_site_label
_atom_site_fract_x
_atom_site_fract_y
_atom_site_fract_z
Cu1 0.000 0.000 0.000
Cu2 0.250 0.250 0.250
Bi1 0.000 0.000 0.500
Ir1 0.250 0.250 0.750
```

=====

HoTm2Sb2 after structural relaxation. Source: the Open Quantum Materials Database, functional PBE-GGA.

Calculated values
- crystal system = tetragonal
- magnetic moment (μB/atom) = 0.246
- polymorph energy (0 for the lowest one) (meV/atom) = 663

CIF file:
```
data_HoTm2Sb2
_symmetry_space_group_name_H-M 'P 4/m b m'
_symmetry_Int_Tables_number 127
_symmetry_space_group_name_Hall '-P 4 2ab'
_cell_length_a 9.780
_cell_length_b 9.780
_cell_length_c 3.334
_cell_angle_alpha 90.00
_cell_angle_beta 90.00
_cell_angle_gamma 90.00
loop_
_atom_site_label
_atom_site_fract_x
_atom_site_fract_y
_atom_site_fract_z
Ho1 0.000 0.000 0.000
Tm1 0.114 0.386 0.500
Sb1 0.183 0.683 0.500
```

=====

NaScGePt after structural relaxation. Source: the Open Quantum Materials Database, functional PBE-GGA.

Calculated values
- crystal system = cubic
- magnetic moment (μB/atom) = 0.000
- polymorph energy (0 for the lowest one) (meV/atom) = 0

CIF file:
```
data_NaScGePt
_symmetry_space_group_name_H-M 'F -4 3 m'
_symmetry_Int_Tables_number 216
_symmetry_space_group_name_Hall 'F -4 2 3'
_cell_length_a 6.498
_cell_length_b 6.498
_cell_length_c 6.498
_cell_angle_alpha 90.00
_cell_angle_beta 90.00
_cell_angle_gamma 90.00
loop_
_atom_site_label
_atom_site_fract_x
_atom_site_fract_y
_atom_site_fract_z
Na1 0.000 0.000 0.000
Sc1 0.250 0.250 0.750
Ge1 0.250 0.250 0.250
Pt1 0.000 0.000 0.500
```

=====

LaCuReTc after structural relaxation. Source: the Open Quantum Materials Database, functional PBE-GGA.

Calculated values
- crystal system = cubic
- magnetic moment (μB/atom) = 0.000
- polymorph energy (0 for the lowest one) (meV/atom) = 0

CIF file:
```
data_LaCuReTc
_symmetry_space_group_name_H-M 'F -4 3 m'
_symmetry_Int_Tables_number 216
_symmetry_space_group_name_Hall 'F -4 2 3'
_cell_length_a 6.564
_cell_length_b 6.564
_cell_length_c 6.564
_cell_angle_alpha 90.00
_cell_angle_beta 90.00
_cell_angle_gamma 90.00
loop_
_atom_site_label
_atom_site_fract_x
_atom_site_fract_y
_atom_site_fract_z
La1 0.000 0.000 0.000
Cu1 0.250 0.250 0.250
Re1 0.000 0.000 0.500
Tc1 0.250 0.250 0.750
```